Compound: KHf3Sn5
Source: the Open Quantum Materials Database
Functional: PBE
Structure: relaxed

The structure belongs to space group P6/mmm (No. 191); the cell edges are 6.0877, 6.0877 and 7.7071 Å and the angles 90.00°, 90.00° and 120.00°. Symmetry generates all atoms from K at (0.0000, 0.0000, 0.0000), Hf at (0.0000, 0.5000, 0.5000), Sn at (0.0000, 0.0000, 0.5000) and Sn at (0.3333, 0.6667, 0.1857).

The calculation puts the total energy at -52.6 eV per cell.

***

Compound: Zn2GeO4
Source: the Open Quantum Materials Database
Functional: PBE
Structure: relaxed

The structure belongs to space group P4_122 (No. 91); the cell edges are 5.9537, 5.9537 and 8.3362 Å and the angles 90.00°, 90.00° and 90.00°. Symmetry generates all atoms from Zn at (0.0000, 0.2431, 0.0000), Zn at (0.2516, 0.2516, 0.3750), Ge at (0.2468, 0.5000, 0.7500), O at (0.0312, 0.2704, 0.7469) and O at (0.2700, 0.4817, 0.9807).

For the polymorph energy (0 for the lowest one), the calculation gives 0.023 eV per atom.

***

Compound: HoTa2O6
Source: the Open Quantum Materials Database
Functional: PBE
Structure: relaxed

The structure belongs to space group P2_1/c (No. 14); the cell edges are 4.8593, 4.8609 and 10.7595 Å and the angles 90.00°, 116.77° and 90.00°. Symmetry generates all atoms from Ho at (0.0000, 0.0000, 0.0000), Ta at (0.3321, 0.0016, 0.3321), O at (0.0182, 0.2027, 0.8147), O at (0.3192, 0.6815, 0.0000) and O at (0.3882, 0.2053, 0.1846).

For the polymorph energy (0 for the lowest one), the calculation gives 0.000 eV per atom.

***

Compound: CdCl2
Source: the Open Quantum Materials Database
Functional: PBE
Structure: relaxed

The structure belongs to space group P4_12_12 (No. 92); the cell edges are 5.7298, 5.7298 and 9.5063 Å and the angles 90.00°, 90.00° and 90.00°. Symmetry generates all atoms from Cd at (0.1209, 0.1209, 0.0000) and Cl at (0.2005, 0.2407, 0.7500).

The calculation puts the total energy at -30.6 eV per cell.

***

Compound: NdGaAu2
Source: the Open Quantum Materials Database
Functional: PBE
Structure: relaxed

The structure belongs to space group Pmc2_1 (No. 26); the cell edges are 4.8188, 4.9675 and 7.7176 Å and the angles 90.00°, 90.00° and 90.00°. Symmetry generates all atoms from Nd at (0.0000, 0.0383, 0.0000), Ga at (0.5000, 0.2913, 0.6671), Au at (0.0000, 0.4809, 0.7394) and Au at (0.5000, 0.2122, 0.3147).

The calculation puts the total energy at -33.5 eV per cell.

***

Compound: Ta5Ga13
Source: the Open Quantum Materials Database
Functional: PBE
Structure: relaxed

The structure belongs to space group Cmmm (No. 65); the cell edges are 3.7896, 40.4015 and 3.7829 Å and the angles 90.00°, 90.00° and 90.00°. Symmetry generates all atoms from Ta at (0.0000, 0.0000, 0.0000), Ta at (0.0000, 0.2165, 0.0000), Ta at (0.0000, 0.3918, 0.5000), Ga at (0.0000, 0.0550, 0.5000), Ga at (0.0000, 0.1117, 0.0000), Ga at (0.0000, 0.1646, 0.5000), Ga at (0.0000, 0.2720, 0.5000), Ga at (0.0000, 0.3349, 0.0000), Ga at (0.0000, 0.4453, 0.0000) and Ga at (0.0000, 0.5000, 0.5000).

The calculation puts the total energy at -204.2 eV per cell.

***

Compound: PrZrPBr2
Source: the Open Quantum Materials Database
Functional: PBE
Structure: relaxed

The structure belongs to space group P3m1 (No. 156); the cell edges are 3.9743, 3.9743 and 10.5190 Å and the angles 90.00°, 90.00° and 120.00°. Symmetry generates all atoms from Pr at (0.0000, 0.0000, 0.0000), Zr at (0.6667, 0.3333, 0.2791), P at (0.3333, 0.6667, 0.1599), Br at (0.0000, 0.0000, 0.4483) and Br at (0.6667, 0.3333, 0.8104).

The calculation puts the total energy at -29.7 eV per cell.

***

Compound: NaYHoTe3
Source: the Open Quantum Materials Database
Functional: PBE
Structure: relaxed

The structure belongs to space group Cmcm (No. 63); the cell edges are 4.4527, 15.2001 and 11.9071 Å and the angles 90.00°, 90.00° and 90.00°. Symmetry generates all atoms from Na at (0.0000, 0.2477, 0.2500), Y at (0.0000, 0.0387, 0.7500), Ho at (0.0000, 0.5000, 0.0000), Te at (0.0000, 0.1419, 0.5449) and Te at (0.0000, 0.4113, 0.7500).

The calculation puts the total energy at -113.2 eV per cell.